(1)
Ca2MnNbO6 (PBE+U, relaxed); Fermi-level density of states = 0.7 states/eV/cell; space group = P2_1/c; final energy = -7.71 eV per atom
1.0
5.5460 0.0000 0.0000
0.0000 5.7173 0.0000
-5.4835 0.0000 7.6466
Ca Mn Nb O
4 2 2 12
Cartesian
-0.0407 0.3005 1.9144 Ca
-2.7825 2.5582 5.7377 Ca
2.8450 3.1591 1.9089 Ca
0.1032 5.4168 5.7322 Ca
2.7730 0.0000 0.0000 Mn
0.0312 2.8587 3.8233 Mn
-2.7418 0.0000 3.8233 Nb
0.0000 2.8587 0.0000 Nb
-4.4115 1.1994 7.2748 O
-1.6698 1.6593 3.4515 O
-3.8612 3.9739 7.2821 O
-1.1194 4.6021 3.4588 O
-2.2162 0.1735 5.7885 O
0.5256 2.6852 1.9651 O
-0.4631 3.0321 5.6815 O
2.2787 5.5438 1.8582 O
1.1819 1.1152 4.1878 O
3.9237 1.7434 0.3645 O
1.7323 4.0580 4.1951 O
4.4740 4.5179 0.3718 O

***

(2)
SrMnWO5 (PBE+U, relaxed); Fermi-level density of states = 0.0 states/eV/cell; space group = C2/c; final energy = -7.41 eV per atom
1.0
3.5704 -4.7975 0.0000
3.5704 4.7975 0.0000
-3.2943 0.0000 6.9763
Sr Mn W O
2 2 2 10
Cartesian
1.0997 3.1136 5.2322 Sr
2.7468 -3.1136 1.7441 Sr
2.7468 2.9706 1.7441 Mn
1.0997 -2.9706 5.2322 Mn
3.5704 0.0000 0.0000 W
1.9233 0.0000 3.4882 W
-1.4690 0.4448 6.3129 O
1.5639 1.8563 2.9655 O
0.1782 -0.4448 2.8248 O
3.9298 1.8563 0.5226 O
1.0997 0.4387 5.2322 O
2.7468 -0.4387 1.7441 O
-0.0832 -1.8563 6.4537 O
3.6684 0.4448 4.1515 O
2.2826 -1.8563 4.0108 O
5.3155 -0.4448 0.6634 O